(1)
GGA-PBE LaPm4Th, optimized geometry; ΔH_f (0 K) = 305 meV per atom; calculated volume = 34.7 Å³ per atom; symmetry = F-43m; uncorrected energy = -4.92 eV/atom; magnetization = 1.266 μB/cell; E above lowest polymorph = 268 meV per atom
1.0
-3.677 -1.280 5.392
-6.101 -2.560 -0.667
-1.181 -6.292 1.802
La Th Pm
1 1 4
Direct
0.000 0.000 0.000
0.250 0.250 0.250
0.624 0.624 0.128
0.624 0.128 0.624
0.624 0.624 0.624
0.128 0.624 0.624

***

(2)
GGA-PBE SrLaTl2, optimized geometry; ΔH_f (0 K) = -247 meV per atom; calculated volume = 35.8 Å³ per atom; symmetry = R-3m; uncorrected energy = -3.08 eV/atom; magnetization = 0.002 μB/cell
1.0
-6.006 8.050 3.016
-8.789 5.232 2.314
-6.877 5.333 5.851
La Sr Tl
1 1 2
Direct
0.250 0.250 0.250
0.750 0.750 0.750
0.999 0.999 0.999
0.501 0.501 0.501

***

(3)
GGA-PBE NpCdPt, optimized geometry; ΔH_f (0 K) = -296 meV per atom; calculated volume = 20.5 Å³ per atom; symmetry = P2_1/m; uncorrected energy = -6.93 eV/atom; magnetization = 6.820 μB/cell
1.0
-2.285 2.864 0.736
-1.214 -1.927 3.726
6.730 2.090 3.273
Np Pt Cd
2 2 2
Direct
0.445 0.250 0.391
0.555 0.750 0.609
0.109 0.250 0.718
0.891 0.750 0.282
0.756 0.250 0.013
0.244 0.750 0.987

***

(4)
GGA-PBE BMoAu3, optimized geometry; ΔH_f (0 K) = 764 meV per atom; calculated volume = 16.4 Å³ per atom; symmetry = Pm-3m; uncorrected energy = -4.70 eV/atom; magnetization = 0.001 μB/cell; E above lowest polymorph = 0 meV per atom
1.0
-3.973 0.556 -1.663
-0.206 -4.238 -0.925
-1.741 -0.767 3.904
Mo B Au
1 1 3
Direct
0.500 0.500 0.500
0.000 0.000 0.000
0.000 0.500 0.000
0.000 0.000 0.500
0.500 0.000 0.000

***

(5)
GGA-PBE Pm2InGe3Rh4, optimized geometry; ΔH_f (0 K) = -786 meV per atom; calculated volume = 19.1 Å³ per atom; symmetry = P-4m2; uncorrected energy = -6.34 eV/atom; magnetization = 0.000 μB/cell
1.0
-2.715 -0.005 -3.270
2.426 -2.853 -2.010
-5.449 -7.829 4.535
Pm In Ge Rh
2 1 3 4
Direct
0.500 0.000 0.244
0.000 0.500 0.756
0.500 0.500 0.500
0.000 0.000 0.500
0.500 0.000 0.876
0.000 0.500 0.124
0.500 0.500 0.000
0.000 0.000 0.000
0.500 0.000 0.647
0.000 0.500 0.353

***

(6)
GGA-PBE CdAgSe3, optimized geometry; calculated volume = 26.4 Å³ per atom; uncorrected formation energy = 0.492 eV/atom; symmetry = Pm-3m; uncorrected energy = -2.35 eV/atom; magnetization = 0.000 μB/cell; E above lowest polymorph = 0 meV per atom
1.0
-4.316 2.692 -0.199
-2.254 -3.800 -2.530
-1.487 -2.057 4.414
Se Ag Cd
3 1 1
Direct
0.000 0.500 0.000
0.000 0.000 0.500
0.500 0.000 0.000
0.000 0.000 0.000
0.500 0.500 0.500

***

(7)
GGA-PBE DyGaBr, optimized geometry; calculated volume = 29.7 Å³ per atom; uncorrected formation energy = -1.047 eV/atom; symmetry = C2/m; uncorrected energy = -4.15 eV/atom; magnetization = 0.000 μB/cell
1.0
3.985 0.000 0.000
0.000 6.989 1.102
-1.992 0.832 12.937
Br Ga Dy
4 4 4
Direct
0.064 0.250 0.128
0.411 0.231 0.821
0.589 0.769 0.179
0.936 0.750 0.872
0.222 0.850 0.444
0.788 0.757 0.575
0.778 0.150 0.556
0.212 0.243 0.425
0.309 0.442 0.618
0.638 0.091 0.276
0.691 0.558 0.382
0.362 0.909 0.724

***

(8)
GGA-PBE LiTa2Re, optimized geometry; ΔH_f (0 K) = 275 meV per atom; calculated volume = 16.6 Å³ per atom; symmetry = Pmmm; uncorrected energy = -9.24 eV/atom; magnetization = 0.000 μB/cell
1.0
2.678 0.000 0.000
0.000 4.227 0.000
0.000 0.000 5.849
Li Re Ta
1 1 2
Direct
0.500 0.500 0.250
0.500 0.500 0.750
0.000 0.000 0.996
0.000 0.000 0.504

***

(9)
GGA-PBE LaSn2SF, optimized geometry; calculated volume = 42.6 Å³ per atom; uncorrected formation energy = -0.041 eV/atom; symmetry = P4/mmm; uncorrected energy = -3.83 eV/atom; magnetization = 0.000 μB/cell
1.0
6.327 0.000 0.000
0.000 5.321 0.000
0.000 0.000 6.327
S F Sn La
1 1 2 1
Direct
0.000 0.500 0.000
0.500 0.500 0.500
0.000 0.000 0.500
0.500 0.000 0.000
0.000 0.000 0.000

***

(10)
GGA-PBE AcPrHgTe, optimized geometry; calculated volume = 35.1 Å³ per atom; uncorrected formation energy = -0.923 eV/atom; symmetry = R3m; uncorrected energy = -4.01 eV/atom; magnetization = 0.000 μB/cell; E above lowest polymorph = 0 meV per atom
1.0
-0.788 -4.404 0.098
2.135 -2.719 -2.842
6.421 -3.323 4.479
Ac Pr Hg Te
1 1 1 1
Direct
0.000 0.000 0.999
0.499 0.499 0.502
0.246 0.246 0.263
0.755 0.755 0.736

***

(11)
GGA-PBE KTcAgP2, optimized geometry; ΔH_f (0 K) = 17 meV per atom; calculated volume = 22.8 Å³ per atom; symmetry = P4/mmm; uncorrected energy = -5.01 eV/atom; magnetization = 0.000 μB/cell
1.0
-0.085 -2.987 3.463
3.629 -3.114 -2.597
3.408 2.269 2.041
P K Tc Ag
2 1 1 1
Direct
0.000 0.000 0.500
0.500 0.000 0.000
0.500 0.500 0.500
0.000 0.000 0.000
0.000 0.500 0.000

***

(12)
GGA-PBE SiPb, optimized geometry; calculated volume = 26.1 Å³ per atom; uncorrected formation energy = 0.371 eV/atom; symmetry = Pmma; uncorrected energy = -4.19 eV/atom; magnetization = 0.000 μB/cell
1.0
3.939 0.000 0.000
0.000 3.670 0.000
0.000 0.000 7.214
Pb Si
2 2
Direct
0.000 0.000 0.962
0.000 0.500 0.372
0.500 0.000 0.561
0.500 0.500 0.772